## KRbLiCd2 (PBE)

Data for a relaxed KRbLiCd2 crystal.

Summary:
energy above the most stable polymorph in this dataset = 0.0 meV/atom
volume = 37.735 Å³ per atom
space group = P4/mmm (123)
total energy = -5.50 eV per cell
energy of formation from the pure elements = 61 meV per atom

Cell lengths 5.586, 5.586, 6.046 Å; angles 90.00, 90.00, 90.00 degrees
Sites, in units of the cell vectors:
K (0.000, 0.000, 0.000)
Rb (0.500, 0.500, 0.000)
Li (0.000, 0.000, 0.500)
Cd (0.000, 0.500, 0.500)
Cd (0.500, 0.000, 0.500)

***

## YRu2Pt (PBE)

Data for a relaxed YRu2Pt crystal.

Summary:
energy above the most stable polymorph in this dataset = 276.4 meV/atom
volume = 17.596 Å³ per atom
space group = P4/mmm (123)
total energy = -30.81 eV per cell
energy of formation from the pure elements = 63 meV per atom

Cell lengths 3.357, 3.357, 6.244 Å; angles 90.00, 90.00, 90.00 degrees
Sites, in units of the cell vectors:
Y (0.000, 0.000, 0.000)
Ru (0.500, 0.500, 0.289)
Ru (0.500, 0.500, 0.711)
Pt (0.000, 0.000, 0.500)

***

## In2AgWN (PBE)

Data for a relaxed In2AgWN crystal.

Summary:
ΔE_f (raw) = 2.015 eV/atom
volume = 29.620 Å³ per atom
space group = P4/mmm (123)
total energy = -19.53 eV per cell

Cell lengths 5.418, 5.418, 5.045 Å; angles 90.00, 90.00, 90.00 degrees
Sites, in units of the cell vectors:
In (0.000, 0.500, 0.000)
In (0.500, 0.000, 0.000)
Ag (0.000, 0.000, 0.500)
W (0.000, 0.000, 0.000)
N (0.500, 0.500, 0.500)

***

## La3Nd2Th (PBE)

Data for a relaxed La3Nd2Th crystal.

Summary:
energy above the most stable polymorph in this dataset = 10.2 meV/atom
volume = 35.345 Å³ per atom
space group = Imma (74)
total energy = -63.09 eV per cell
energy of formation from the pure elements = 32 meV per atom

Cell lengths 9.747, 9.747, 9.747 Å; angles 149.10, 115.04, 73.66 degrees
Sites, in units of the cell vectors:
La (0.000, 0.000, 0.000)
La (0.178, 0.669, 0.509)
La (0.341, 0.331, 0.009)
La (0.500, 0.000, 0.500)
La (0.659, 0.669, 0.991)
La (0.822, 0.331, 0.491)
Nd (0.083, 0.833, 0.250)
Nd (0.256, 0.506, 0.750)
Nd (0.744, 0.494, 0.250)
Nd (0.917, 0.167, 0.750)
Th (0.421, 0.171, 0.250)
Th (0.579, 0.829, 0.750)

***

## PuTiHg2 (PBE)

Data for a relaxed PuTiHg2 crystal.

Summary:
energy above the most stable polymorph in this dataset = 129.0 meV/atom
volume = 22.565 Å³ per atom
space group = P4/mmm (123)
total energy = -22.49 eV per cell
energy of formation from the pure elements = 85 meV per atom

Cell lengths 4.519, 4.519, 4.419 Å; angles 90.00, 90.00, 90.00 degrees
Sites, in units of the cell vectors:
Pu (0.000, 0.000, 0.000)
Ti (0.500, 0.500, 0.000)
Hg (0.000, 0.500, 0.500)
Hg (0.500, 0.000, 0.500)

***

## MgPaAu6 (PBE)

Data for a relaxed MgPaAu6 crystal.

Summary:
volume = 24.712 Å³ per atom
space group = R-3m (166)
total energy = -31.66 eV per cell
energy of formation from the pure elements = -113 meV per atom

Cell lengths 8.173, 8.173, 8.173 Å; angles 39.37, 39.37, 39.37 degrees
Sites, in units of the cell vectors:
Mg (0.000, 0.000, 0.000)
Pa (0.500, 0.500, 0.500)
Au (0.070, 0.070, 0.565)
Au (0.070, 0.565, 0.070)
Au (0.435, 0.930, 0.930)
Au (0.565, 0.070, 0.070)
Au (0.930, 0.435, 0.930)
Au (0.930, 0.930, 0.435)

***

## HgTe3 (PBE)

Data for a relaxed HgTe3 crystal.

Summary:
ΔE_f (raw) = 0.248 eV/atom
volume = 28.057 Å³ per atom
space group = R-3m (166)
total energy = -8.73 eV per cell

Cell lengths 6.352, 6.352, 6.352 Å; angles 117.05, 117.05, 117.05 degrees
Sites, in units of the cell vectors:
Hg (0.000, 0.000, 0.000)
Te (0.000, 0.500, 0.500)
Te (0.500, 0.000, 0.500)
Te (0.500, 0.500, 0.000)

***

## Nb3GePd (PBE)

Data for a relaxed Nb3GePd crystal.

Summary:
energy above the most stable polymorph in this dataset = 0.0 meV/atom
volume = 21.108 Å³ per atom
space group = Pm-3m (221)
total energy = -35.56 eV per cell
energy of formation from the pure elements = 892 meV per atom

Cell lengths 4.726, 4.726, 4.726 Å; angles 90.00, 90.00, 90.00 degrees
Sites, in units of the cell vectors:
Nb (0.000, 0.000, 0.500)
Nb (0.000, 0.500, 0.000)
Nb (0.500, 0.000, 0.000)
Ge (0.000, 0.000, 0.000)
Pd (0.500, 0.500, 0.500)

***

## NdSmAu6 (PBE)

Data for a relaxed NdSmAu6 crystal.

Summary:
volume = 21.461 Å³ per atom
space group = R-3 (148)
total energy = -34.57 eV per cell
energy of formation from the pure elements = -677 meV per atom

Cell lengths 5.595, 5.595, 5.595 Å; angles 96.31, 96.31, 96.31 degrees
Sites, in units of the cell vectors:
Nd (0.000, 0.000, 0.000)
Sm (0.500, 0.500, 0.500)
Au (0.026, 0.474, 0.749)
Au (0.251, 0.974, 0.526)
Au (0.474, 0.749, 0.026)
Au (0.526, 0.251, 0.974)
Au (0.749, 0.026, 0.474)
Au (0.974, 0.526, 0.251)

***

## Hf3IrPd (PBE)

Data for a relaxed Hf3IrPd crystal.

Summary:
energy above the most stable polymorph in this dataset = 0.0 meV/atom
volume = 19.486 Å³ per atom
space group = C2/c (15)
total energy = -185.96 eV per cell
energy of formation from the pure elements = -515 meV per atom

Cell lengths 9.164, 9.164, 5.379 Å; angles 100.37, 100.37, 61.93 degrees
Sites, in units of the cell vectors:
Hf (0.048, 0.636, 0.404)
Hf (0.053, 0.832, 0.969)
Hf (0.168, 0.947, 0.531)
Hf (0.256, 0.439, 0.920)
Hf (0.364, 0.952, 0.096)
Hf (0.439, 0.256, 0.420)
Hf (0.561, 0.744, 0.580)
Hf (0.636, 0.048, 0.904)
Hf (0.744, 0.561, 0.080)
Hf (0.832, 0.053, 0.469)
Hf (0.947, 0.168, 0.031)
Hf (0.952, 0.364, 0.596)
Ir (0.132, 0.319, 0.209)
Ir (0.319, 0.132, 0.709)
Ir (0.681, 0.868, 0.291)
Ir (0.868, 0.681, 0.791)
Pd (0.352, 0.648, 0.750)
Pd (0.355, 0.645, 0.250)
Pd (0.645, 0.355, 0.750)
Pd (0.648, 0.352, 0.250)

***

## Ba2MgNb6N2O14 (PBE)

Data for a relaxed Ba2MgNb6N2O14 crystal.

Summary:
ΔE_f (raw) = -2.359 eV/atom
energy above the most stable polymorph in this dataset = 0.0 meV/atom
volume = 15.164 Å³ per atom
space group = Cm (8)
total energy = -210.89 eV per cell

Cell lengths 10.599, 10.599, 9.075 Å; angles 90.68, 90.68, 21.83 degrees
Sites, in units of the cell vectors:
Ba (0.000, 0.000, 0.000)
Ba (0.033, 0.033, 0.525)
Mg (0.239, 0.239, 0.335)
Nb (0.256, 0.256, 0.996)
Nb (0.386, 0.386, 0.704)
Nb (0.389, 0.389, 0.312)
Nb (0.646, 0.646, 0.202)
Nb (0.655, 0.655, 0.834)
Nb (0.793, 0.793, 0.546)
N (0.317, 0.317, 0.849)
N (0.725, 0.725, 0.018)
O (0.162, 0.162, 0.199)
O (0.166, 0.166, 0.860)
O (0.304, 0.304, 0.506)
O (0.307, 0.307, 0.185)
O (0.439, 0.439, 0.498)
O (0.451, 0.451, 0.174)
O (0.458, 0.458, 0.828)
O (0.581, 0.581, 0.339)
O (0.588, 0.588, 0.695)
O (0.593, 0.593, 0.020)
O (0.725, 0.725, 0.366)
O (0.729, 0.729, 0.681)
O (0.871, 0.871, 0.350)
O (0.884, 0.884, 0.668)

***

## Y2TeI2 (PBE)

Data for a relaxed Y2TeI2 crystal.

Summary:
ΔE_f (raw) = -1.037 eV/atom
volume = 35.487 Å³ per atom
space group = C2/m (12)
total energy = -48.71 eV per cell

Cell lengths 7.710, 7.710, 8.941 Å; angles 111.72, 111.72, 46.86 degrees
Sites, in units of the cell vectors:
Y (0.020, 0.020, 0.232)
Y (0.304, 0.304, 0.423)
Y (0.696, 0.696, 0.577)
Y (0.980, 0.980, 0.768)
Te (0.166, 0.166, 0.076)
Te (0.834, 0.834, 0.924)
I (0.163, 0.163, 0.614)
I (0.484, 0.484, 0.263)
I (0.516, 0.516, 0.737)
I (0.837, 0.837, 0.386)

***

## Sr8TeRh2 (PBE)

Data for a relaxed Sr8TeRh2 crystal.

Summary:
ΔE_f (raw) = -0.366 eV/atom
volume = 40.908 Å³ per atom
space group = P-1 (2)
total energy = -35.32 eV per cell

Cell lengths 7.311, 7.764, 9.196 Å; angles 68.72, 67.82, 84.28 degrees
Sites, in units of the cell vectors:
Sr (0.204, 0.210, 0.271)
Sr (0.237, 0.554, 0.803)
Sr (0.272, 0.114, 0.694)
Sr (0.272, 0.784, 0.123)
Sr (0.728, 0.216, 0.877)
Sr (0.728, 0.886, 0.306)
Sr (0.763, 0.446, 0.197)
Sr (0.796, 0.790, 0.729)
Te (0.000, 0.500, 0.500)
Rh (0.041, 0.164, 0.039)
Rh (0.959, 0.836, 0.961)

***

## Sm6HoTm2 (PBE)

Data for a relaxed Sm6HoTm2 crystal.

Summary:
volume = 33.418 Å³ per atom
space group = C2/m (12)
total energy = -39.95 eV per cell
energy of formation from the pure elements = 209 meV per atom

Cell lengths 7.557, 7.557, 6.082 Å; angles 90.01, 90.01, 59.99 degrees
Sites, in units of the cell vectors:
Sm (0.122, 0.688, 0.789)
Sm (0.311, 0.311, 0.211)
Sm (0.312, 0.878, 0.211)
Sm (0.688, 0.122, 0.789)
Sm (0.689, 0.689, 0.789)
Sm (0.878, 0.312, 0.211)
Ho (0.500, 0.500, 0.500)
Tm (0.166, 0.166, 0.716)
Tm (0.834, 0.834, 0.284)

***

## Cs2LiCrS4 (PBE)

Data for a relaxed Cs2LiCrS4 crystal.

Summary:
ΔE_f (raw) = -1.010 eV/atom
volume = 31.336 Å³ per atom
space group = Fddd (70)
total energy = -75.67 eV per cell

Cell lengths 14.239, 12.747, 7.551 Å; angles 85.00, 63.10, 31.89 degrees
Sites, in units of the cell vectors:
Cs (0.051, 0.051, 0.699)
Cs (0.301, 0.301, 0.949)
Cs (0.699, 0.699, 0.051)
Cs (0.949, 0.949, 0.301)
Li (0.125, 0.125, 0.125)
Li (0.875, 0.875, 0.875)
Cr (0.375, 0.375, 0.375)
Cr (0.625, 0.625, 0.625)
S (0.022, 0.630, 0.551)
S (0.297, 0.551, 0.630)
S (0.370, 0.978, 0.703)
S (0.449, 0.703, 0.978)
S (0.551, 0.297, 0.022)
S (0.630, 0.022, 0.297)
S (0.703, 0.449, 0.370)
S (0.978, 0.370, 0.449)

***

## LiPb3 (PBE)

Data for a relaxed LiPb3 crystal.

Summary:
volume = 28.712 Å³ per atom
space group = Cmcm (63)
total energy = -26.69 eV per cell
energy of formation from the pure elements = -77 meV per atom

Cell lengths 6.711, 6.711, 5.848 Å; angles 90.00, 90.00, 119.28 degrees
Sites, in units of the cell vectors:
Li (0.091, 0.909, 0.750)
Li (0.909, 0.091, 0.250)
Pb (0.082, 0.409, 0.750)
Pb (0.409, 0.082, 0.250)
Pb (0.415, 0.585, 0.250)
Pb (0.585, 0.415, 0.750)
Pb (0.591, 0.918, 0.750)
Pb (0.918, 0.591, 0.250)

***

## PmNd12Co6 (PBE)

Data for a relaxed PmNd12Co6 crystal.

Summary:
volume = 27.144 Å³ per atom
space group = Im-3 (204)
total energy = -105.45 eV per cell
energy of formation from the pure elements = -45 meV per atom

Cell lengths 8.750, 8.750, 8.750 Å; angles 109.47, 109.47, 109.47 degrees
Sites, in units of the cell vectors:
Pm (0.000, 0.000, 0.000)
Nd (0.116, 0.805, 0.311)
Nd (0.195, 0.311, 0.505)
Nd (0.195, 0.689, 0.884)
Nd (0.311, 0.116, 0.805)
Nd (0.311, 0.505, 0.195)
Nd (0.495, 0.805, 0.689)
Nd (0.505, 0.195, 0.311)
Nd (0.689, 0.495, 0.805)
Nd (0.689, 0.884, 0.195)
Nd (0.805, 0.311, 0.116)
Nd (0.805, 0.689, 0.495)
Nd (0.884, 0.195, 0.689)
Co (0.111, 0.611, 0.500)
Co (0.389, 0.500, 0.889)
Co (0.500, 0.111, 0.611)
Co (0.500, 0.889, 0.389)
Co (0.611, 0.500, 0.111)
Co (0.889, 0.389, 0.500)

***

## NaErMgBr6 (PBE)

Data for a relaxed NaErMgBr6 crystal.

Summary:
ΔE_f (raw) = -1.664 eV/atom
volume = 31.793 Å³ per atom
space group = P-31c (163)
total energy = -64.98 eV per cell

Cell lengths 7.031, 7.031, 13.368 Å; angles 90.00, 90.00, 120.00 degrees
Sites, in units of the cell vectors:
Na (0.000, 0.000, 0.000)
Na (0.000, 0.000, 0.500)
Er (0.333, 0.667, 0.250)
Er (0.667, 0.333, 0.750)
Mg (0.333, 0.667, 0.750)
Mg (0.667, 0.333, 0.250)
Br (0.009, 0.363, 0.633)
Br (0.009, 0.646, 0.867)
Br (0.354, 0.363, 0.867)
Br (0.354, 0.991, 0.633)
Br (0.363, 0.009, 0.133)
Br (0.363, 0.354, 0.367)
Br (0.637, 0.646, 0.633)
Br (0.637, 0.991, 0.867)
Br (0.646, 0.009, 0.367)
Br (0.646, 0.637, 0.133)
Br (0.991, 0.354, 0.133)
Br (0.991, 0.637, 0.367)

***

## Tb9Pm11Sc4 (PBE)

Data for a relaxed Tb9Pm11Sc4 crystal.

Summary:
volume = 32.115 Å³ per atom
space group = Cmmm (65)
total energy = -118.05 eV per cell
energy of formation from the pure elements = 50 meV per atom

Cell lengths 15.274, 15.274, 3.593 Å; angles 90.00, 90.00, 113.14 degrees
Sites, in units of the cell vectors:
Tb (0.000, 0.000, 0.000)
Tb (0.128, 0.666, 0.000)
Tb (0.283, 0.427, 0.000)
Tb (0.334, 0.872, 0.000)
Tb (0.427, 0.283, 0.000)
Tb (0.573, 0.717, 0.000)
Tb (0.666, 0.128, 0.000)
Tb (0.717, 0.573, 0.000)
Tb (0.872, 0.334, 0.000)
Pm (0.094, 0.454, 0.500)
Pm (0.129, 0.871, 0.500)
Pm (0.201, 0.201, 0.500)
Pm (0.340, 0.660, 0.500)
Pm (0.454, 0.094, 0.500)
Pm (0.500, 0.500, 0.500)
Pm (0.546, 0.906, 0.500)
Pm (0.660, 0.340, 0.500)
Pm (0.799, 0.799, 0.500)
Pm (0.871, 0.129, 0.500)
Pm (0.906, 0.546, 0.500)
Sc (0.055, 0.259, 0.000)
Sc (0.259, 0.055, 0.000)
Sc (0.741, 0.945, 0.000)
Sc (0.945, 0.741, 0.000)

***

## Y2InPd (PBE)

Data for a relaxed Y2InPd crystal.

Summary:
volume = 26.715 Å³ per atom
space group = I-42d (122)
total energy = -44.29 eV per cell
energy of formation from the pure elements = -321 meV per atom

Cell lengths 6.581, 6.581, 6.581 Å; angles 104.47, 104.47, 120.01 degrees
Sites, in units of the cell vectors:
Y (0.083, 0.625, 0.958)
Y (0.375, 0.333, 0.458)
Y (0.667, 0.125, 0.042)
Y (0.875, 0.917, 0.542)
In (0.250, 0.750, 0.500)
In (0.500, 0.500, 0.000)
Pd (0.000, 0.000, 0.000)
Pd (0.750, 0.250, 0.500)

***

## MgBe2Pt (PBE)

Data for a relaxed MgBe2Pt crystal.

Summary:
volume = 12.938 Å³ per atom
space group = Pmmm (47)
total energy = -16.35 eV per cell
energy of formation from the pure elements = -314 meV per atom

Cell lengths 2.979, 3.064, 5.669 Å; angles 90.00, 90.00, 90.00 degrees
Sites, in units of the cell vectors:
Mg (0.000, 0.000, 0.000)
Be (0.500, 0.500, 0.296)
Be (0.500, 0.500, 0.704)
Pt (0.000, 0.000, 0.500)